[1]
DFT (PBE-GGA) results for a relaxed structure of Pr3ZnSe6.

a = 11.8859 Å, b = 14.7437 Å, c = 6.6365 Å
α = 90.00°, β = 90.00°, γ = 90.00°
Space group Cmc2_1 (No. 36)
Symmetry-distinct sites (fractional):
Pr: 0.0000 0.1184 0.0000
Pr: 0.1757 0.3942 0.0835
Zn: 0.0000 0.3040 0.6385
Se: 0.0000 0.2799 0.2751
Se: 0.0000 0.4632 0.7728
Se: 0.1593 0.0170 0.2953
Se: 0.1695 0.2379 0.7982

Summary:
The value obtained for the total magnetization is 0.00 μB per atom.

***

[2]
DFT (PBE-GGA) results for a relaxed structure of Pr2NiHg.

a = 7.4380 Å, b = 7.4380 Å, c = 7.4380 Å
α = 90.00°, β = 90.00°, γ = 90.00°
Space group Fm-3m (No. 225)
Symmetry-distinct sites (fractional):
Pr: 0.2500 0.2500 0.2500
Ni: 0.0000 0.0000 0.0000
Hg: 0.0000 0.0000 0.5000

Summary:
The value obtained for the total magnetization is 0.00 μB per atom. The formation energy is -0.25 eV/atom.

***

[3]
DFT (PBE-GGA) results for a relaxed structure of Ti2TeBr2.

a = 7.5234 Å, b = 7.5234 Å, c = 3.9996 Å
α = 90.00°, β = 90.00°, γ = 90.00°
Space group P4/mbm (No. 127)
Symmetry-distinct sites (fractional):
Ti: 0.1224 0.3776 0.0000
Te: 0.0000 0.0000 0.0000
Br: 0.1427 0.6427 0.5000

Summary:
The value obtained for the total magnetization is 0.38 μB per atom.

***

[4]
DFT (PBE-GGA) results for a relaxed structure of BeCr2.

a = 5.3620 Å, b = 5.3691 Å, c = 2.3049 Å
α = 90.00°, β = 90.00°, γ = 90.00°
Space group Pnnm (No. 58)
Symmetry-distinct sites (fractional):
Be: 0.0000 0.0000 0.0000
Cr: 0.1385 0.3285 0.5000

Summary:
The value obtained for the total magnetization is 0.00 μB per atom. The formation energy is 0.61 eV/atom.

***

[5]
DFT (PBE-GGA) results for a relaxed structure of TbPr3Ir8.

a = 5.4406 Å, b = 5.4406 Å, c = 26.6284 Å
α = 90.00°, β = 90.00°, γ = 120.00°
Space group R3m (No. 160, hexagonal axes)
Symmetry-distinct sites (fractional):
Tb: 0.0000 0.0000 0.0000
Pr: 0.0000 0.0000 0.1248
Pr: 0.0000 0.0000 0.5003
Pr: 0.0000 0.0000 0.6254
Ir: 0.0000 0.0000 0.3128
Ir: 0.0000 0.0000 0.8127
Ir: 0.0011 0.5005 0.5635
Ir: 0.1670 0.3340 0.3951

Summary:
The value obtained for the total magnetization is 0.00 μB per atom. The formation energy is -0.69 eV/atom.

***

[6]
DFT (PBE-GGA) results for a relaxed structure of KLa3In.

a = 6.2244 Å, b = 6.2244 Å, c = 6.2244 Å
α = 90.00°, β = 90.00°, γ = 90.00°
Space group Pm-3m (No. 221)
Symmetry-distinct sites (fractional):
K: 0.0000 0.0000 0.0000
La: 0.0000 0.5000 0.5000
In: 0.5000 0.5000 0.5000

Summary:
The value obtained for the total magnetization is 0.00 μB per atom. The formation energy is 0.31 eV/atom.

***

[7]
DFT (PBE-GGA) results for a relaxed structure of CaErMgAl.

a = 7.4451 Å, b = 7.4451 Å, c = 7.4451 Å
α = 90.00°, β = 90.00°, γ = 90.00°
Space group F-43m (No. 216)
Symmetry-distinct sites (fractional):
Ca: 0.0000 0.0000 0.0000
Er: 0.0000 0.0000 0.5000
Mg: 0.2500 0.2500 0.7500
Al: 0.2500 0.2500 0.2500

Summary:
The value obtained for the total magnetization is 0.00 μB per atom. The formation energy is -0.19 eV/atom.

***

[8]
DFT (PBE-GGA) results for a relaxed structure of Sc5Ru4Pt.

a = 3.2412 Å, b = 3.2412 Å, c = 15.9552 Å
α = 90.00°, β = 90.00°, γ = 90.00°
Space group P4/mmm (No. 123)
Symmetry-distinct sites (fractional):
Sc: 0.0000 0.0000 0.0000
Sc: 0.0000 0.0000 0.1988
Sc: 0.0000 0.0000 0.3957
Ru: 0.5000 0.5000 0.1000
Ru: 0.5000 0.5000 0.3011
Pt: 0.5000 0.5000 0.5000

Summary:
The value obtained for the total magnetization is 0.00 μB per atom. The formation energy is -0.72 eV/atom.

***

Across the entries above, VASP energy takes the values -5.13 -4.16 -4.71 -7.05 -8.18 -3.41 -3.16 -8.21 eV/atom, respectively.